11
Lattice="7.368 -2.188 0.000 7.368 2.188 0.000 -0.327 0.000 5.469" Properties=species:S:1:pos:R:3 comment="Li8Zn2Au (PBE, optimized geometry)" formation_energy_mev_per_atom=-218 mass_density_kg_m3=3609 dos_ef_per_ev_atom=0.2589 pbc="T T T"
Li 0.625 0.000 1.334
Li 1.822 0.000 3.716
Li 4.484 0.000 3.293
Li 5.987 0.000 0.295
Li 8.421 0.000 5.174
Li 9.924 0.000 2.176
Li 12.587 0.000 1.753
Li 13.784 0.000 4.135
Zn 3.347 0.000 0.655
Zn 11.062 0.000 4.814
Au 7.204 0.000 2.735